# 1
A geometry-optimized LiPt2 structure. Source: Alexandria via LeMat-Bulk, functional PBE-GGA.

Calculated values
The formation energy is -0.4487 eV/atom. The total energy comes out at -5.114 eV/atom. The energy above the most stable polymorph in this dataset is 0.000 eV per atom.

a b c (Å): 5.262 5.262 5.262
angles (deg): 60.00 60.00 60.00
Fractional coordinates of all 6 atoms:
Pt: 0.500 0.500 0.500
Pt: 0.500 0.500 0.000
Pt: 0.500 0.000 0.500
Pt: 0.000 0.500 0.500
Li: 0.875 0.875 0.875
Li: 0.125 0.125 0.125



# 2
A geometry-optimized LiPt structure. Source: Alexandria via LeMat-Bulk, functional PBE-GGA.

Calculated values
The formation energy is -0.2987 eV/atom. The total energy comes out at -4.276 eV/atom.

a b c (Å): 10.870 10.870 2.808
angles (deg): 90.00 90.00 90.00
Fractional coordinates of all 16 atoms:
Pt: 0.878 0.500 0.500
Pt: 0.675 0.500 0.000
Pt: 0.500 0.675 0.000
Pt: 0.500 0.122 0.500
Pt: 0.500 0.878 0.500
Pt: 0.500 0.325 0.000
Pt: 0.122 0.500 0.500
Pt: 0.325 0.500 0.000
Li: 0.295 0.705 0.500
Li: 0.662 0.000 0.000
Li: 0.705 0.705 0.500
Li: 0.338 0.000 0.000
Li: 0.000 0.662 0.000
Li: 0.000 0.338 0.000
Li: 0.705 0.295 0.500
Li: 0.295 0.295 0.500